## A
Entry from Alexandria via LeMat-Bulk: a geometry-optimized La6HgPd2 structure (PBE).

Results
As for the spin magnetization: 0.00 μB/cell. The space-group type is P2_1/c.

The structure in extended XYZ format:
```
18
Lattice="6.981 0.000 0.000 0.000 7.772 0.000 -6.833 0.000 10.562" Properties=species:S:1:pos:R:3 pbc="T T T"
La -1.249 0.620 2.480
La -4.665 3.266 7.761
La 0.932 5.390 0.907
La -2.484 6.269 6.188
La 2.149 1.121 0.604
La -1.268 2.766 5.885
La 1.415 5.007 4.677
La -2.001 6.652 9.958
La 2.632 1.504 4.374
La -0.785 2.382 9.655
La 4.813 4.506 2.801
La 1.396 7.152 8.082
Hg 0.074 0.000 5.281
Hg 3.490 3.886 0.000
Pd -2.909 0.895 7.790
Pd 0.508 2.991 2.509
Pd -0.360 4.781 8.053
Pd 3.056 6.878 2.772
```

***

## B
Entry from Alexandria via LeMat-Bulk: a geometry-optimized La6HgPd2 structure (PBE).

Results
As for the spin magnetization: 0.00 μB/cell. The space-group type is Immm.

The structure in extended XYZ format:
```
18
Lattice="-4.922 5.176 5.446 4.922 -5.176 5.446 4.922 5.176 -5.446" Properties=species:S:1:pos:R:3 pbc="T T T"
La 4.922 3.187 -2.835
La 2.822 1.836 0.000
La 7.021 1.836 0.000
La 1.934 5.176 -1.866
La 2.988 0.000 3.581
La 0.000 1.990 2.612
La 4.922 3.187 2.835
La 1.934 5.176 1.866
La 2.988 0.000 7.312
La -2.100 3.340 5.446
La 2.100 3.340 5.446
La 0.000 1.990 8.281
Hg 0.000 0.000 0.000
Hg 0.000 0.000 5.446
Pd 4.922 0.000 1.428
Pd 0.000 3.592 0.000
Pd 0.000 6.761 0.000
Pd 0.000 5.176 4.019
```

***

Unit: meV per atom. Relative energies: A 104; B 0.

***

## A
Entry from Alexandria via LeMat-Bulk: a geometry-optimized La3HgPd structure (PBE).

Results
As for the spin magnetization: 0.00 μB/cell. The space-group type is C2/m.

The structure in extended XYZ format:
```
10
Lattice="4.900 -3.570 0.000 4.900 3.570 0.000 -4.810 0.000 8.302" Properties=species:S:1:pos:R:3 pbc="T T T"
La -0.524 0.000 2.428
La -0.455 0.000 5.718
La 2.410 0.000 0.802
La 2.579 0.000 7.500
La 5.444 0.000 2.584
La 5.513 0.000 5.874
Hg 2.494 1.441 4.151
Hg 2.494 -1.441 4.151
Pd 4.900 1.592 0.000
Pd 4.900 -1.592 0.000
```

***

## B
Entry from Alexandria via LeMat-Bulk: a geometry-optimized La3HgPd structure (PBE).

Results
As for the spin magnetization: 0.00 μB/cell. The space-group type is Cmmm.

The structure in extended XYZ format:
```
10
Lattice="5.209 -7.577 0.000 5.209 7.577 0.000 0.000 0.000 4.131" Properties=species:S:1:pos:R:3 pbc="T T T"
La 5.209 4.999 0.000
La 3.155 1.721 2.066
La 3.155 -1.721 2.066
La 7.263 1.721 2.066
La 7.263 -1.721 2.066
La 5.209 -4.999 0.000
Hg 0.000 0.000 2.066
Hg 5.209 0.000 0.000
Pd 2.605 3.788 0.000
Pd 2.605 -3.788 0.000
```

***

Unit: meV per atom. Relative energies: A 0; B 66.